(1)
Compound: NaNpReO6
Source: Alexandria via LeMat-Bulk
Functional: PBE-GGA
Structure: relaxed

Cell lengths 5.4811, 5.4811, 10.1427 Å; angles 90.00, 90.00, 120.00 degrees
Space group P-31c (No. 163)
Inequivalent atoms, fractional coordinates:
Na: 0.0000 0.0000 0.0000 (multiplicity 2)
Np: 0.3333 0.6667 0.2500 (multiplicity 2)
Re: 0.3333 0.6667 0.7500 (multiplicity 2)
O: 0.0255 0.3801 0.6456 (multiplicity 12)

Results
formation energy (no corrections) = -2.113 eV/atom

(2)
Compound: NaNpRhO6
Source: Alexandria via LeMat-Bulk
Functional: PBE-GGA
Structure: relaxed

Cell lengths 5.3427, 5.3427, 10.4074 Å; angles 90.00, 90.00, 120.00 degrees
Space group P-31c (No. 163)
Inequivalent atoms, fractional coordinates:
Na: 0.0000 0.0000 0.0000 (multiplicity 2)
Np: 0.3333 0.6667 0.2500 (multiplicity 2)
Rh: 0.3333 0.6667 0.7500 (multiplicity 2)
O: 0.0020 0.3614 0.6465 (multiplicity 12)

Results
formation energy (no corrections) = -1.781 eV/atom

(3)
Compound: Na2NpRhO6
Source: Alexandria via LeMat-Bulk
Functional: PBE-GGA
Structure: relaxed

Cell lengths 11.2880, 5.6497, 5.1086 Å; angles 90.00, 116.41, 90.00 degrees
Space group C2/m (No. 12)
Inequivalent atoms, fractional coordinates:
Na: 0.2424 0.0000 0.1853 (multiplicity 4)
Np: 0.0000 0.5000 0.0000 (multiplicity 2)
Rh: 0.0000 0.0000 0.5000 (multiplicity 2)
O: 0.0735 0.2391 0.8049 (multiplicity 8)
O: 0.1681 0.5000 0.3130 (multiplicity 4)

Results
formation energy (no corrections) = -1.805 eV/atom

(4)
Compound: NaNpRh2O8
Source: Alexandria via LeMat-Bulk
Functional: PBE-GGA
Structure: relaxed

Cell lengths 4.8858, 6.3201, 4.9043 Å; angles 90.00, 91.99, 90.00 degrees
Space group P2/m (No. 10)
Inequivalent atoms, fractional coordinates:
Na: 0.0000 0.0000 0.0000 (multiplicity 1)
Np: 0.0000 0.5000 0.0000 (multiplicity 1)
Rh: 0.5000 0.2468 0.5000 (multiplicity 2)
O: 0.2058 0.2772 0.2017 (multiplicity 4)
O: 0.3137 0.5000 0.6822 (multiplicity 2)
O: 0.3290 0.0000 0.6674 (multiplicity 2)

Results
formation energy (no corrections) = -1.450 eV/atom

(5)
Compound: NaNpRh2O6
Source: Alexandria via LeMat-Bulk
Functional: PBE-GGA
Structure: relaxed

Cell lengths 5.9650, 5.9650, 4.2845 Å; angles 90.00, 90.00, 90.00 degrees
Space group P4mm (No. 99)
Inequivalent atoms, fractional coordinates:
Na: 0.0000 0.0000 0.0000 (multiplicity 1)
Np: 0.5000 0.5000 0.1710 (multiplicity 1)
Rh: 0.0000 0.5000 0.2356 (multiplicity 2)
O: 0.0000 0.0000 0.5092 (multiplicity 1)
O: 0.2582 0.2582 0.1834 (multiplicity 4)
O: 0.5000 0.5000 0.6685 (multiplicity 1)

Results
formation energy (no corrections) = -1.045 eV/atom

(6)
Compound: NaNpS2O8
Source: Alexandria via LeMat-Bulk
Functional: PBE-GGA
Structure: relaxed

Cell lengths 5.4919, 5.4919, 7.2395 Å; angles 90.00, 90.00, 120.00 degrees
Space group P-3 (No. 147)
Inequivalent atoms, fractional coordinates:
Na: 0.0000 0.0000 0.0000 (multiplicity 1)
Np: 0.0000 0.0000 0.5000 (multiplicity 1)
S: 0.3333 0.6667 0.7877 (multiplicity 2)
O: 0.1738 0.3716 0.7125 (multiplicity 6)
O: 0.3333 0.6667 0.9875 (multiplicity 2)

Results
formation energy (no corrections) = -1.785 eV/atom

(7)
Compound: NaNp2SbO8
Source: Alexandria via LeMat-Bulk
Functional: PBE-GGA
Structure: relaxed

Cell lengths 6.9913, 7.2549, 6.9792 Å; angles 90.00, 90.00, 90.00 degrees
Space group Cmmm (No. 65)
Inequivalent atoms, fractional coordinates:
Na: 0.0000 0.0000 0.0000 (multiplicity 2)
Np: 0.0000 0.5000 0.2471 (multiplicity 4)
Sb: 0.0000 0.0000 0.5000 (multiplicity 2)
O: 0.0000 0.3144 0.5000 (multiplicity 4)
O: 0.0000 0.3285 0.0000 (multiplicity 4)
O: 0.2193 0.0000 0.2602 (multiplicity 8)

Results
formation energy (no corrections) = -2.310 eV/atom

(8)
Compound: NaNpSbO6
Source: Alexandria via LeMat-Bulk
Functional: PBE-GGA
Structure: relaxed

Cell lengths 5.4869, 5.4869, 10.3565 Å; angles 90.00, 90.00, 120.00 degrees
Space group P-31c (No. 163)
Inequivalent atoms, fractional coordinates:
Na: 0.0000 0.0000 0.0000 (multiplicity 2)
Np: 0.3333 0.6667 0.2500 (multiplicity 2)
Sb: 0.3333 0.6667 0.7500 (multiplicity 2)
O: 0.0101 0.3712 0.6440 (multiplicity 12)

Results
formation energy (no corrections) = -1.998 eV/atom

(9)
Compound: Na2NpScO4
Source: Alexandria via LeMat-Bulk
Functional: PBE-GGA
Structure: relaxed

Cell lengths 5.7705, 3.3418, 5.9229 Å; angles 90.00, 108.75, 90.00 degrees
Space group P2/m (No. 10)
Inequivalent atoms, fractional coordinates:
Na: 0.0000 0.0000 0.0000 (multiplicity 1)
Na: 0.5000 0.5000 0.0000 (multiplicity 1)
Np: 0.0000 0.5000 0.5000 (multiplicity 1)
Sc: 0.5000 0.0000 0.5000 (multiplicity 1)
O: 0.2539 0.0000 0.7180 (multiplicity 2)
O: 0.2770 0.5000 0.2932 (multiplicity 2)

Results
formation energy (no corrections) = -2.487 eV/atom

(10)
Compound: NaNpSc2O6
Source: Alexandria via LeMat-Bulk
Functional: PBE-GGA
Structure: relaxed

Cell lengths 5.5945, 5.5945, 14.7155 Å; angles 90.00, 90.00, 120.00 degrees
Space group R3 (No. 146, hexagonal axes)
Inequivalent atoms, fractional coordinates:
Na: 0.0000 0.0000 0.0000 (multiplicity 3)
Np: 0.0000 0.0000 0.4800 (multiplicity 3)
Sc: 0.0000 0.0000 0.2706 (multiplicity 3)
Sc: 0.0000 0.0000 0.7815 (multiplicity 3)
O: 0.0087 0.3614 0.5393 (multiplicity 9)
O: 0.0292 0.6117 0.0487 (multiplicity 9)

Results
formation energy (no corrections) = -3.006 eV/atom

(11)
Compound: NaNpScO6
Source: Alexandria via LeMat-Bulk
Functional: PBE-GGA
Structure: relaxed

Cell lengths 5.4919, 5.4919, 9.2246 Å; angles 90.00, 90.00, 120.00 degrees
Space group P-31c (No. 163)
Inequivalent atoms, fractional coordinates:
Na: 0.3333 0.6667 0.2500 (multiplicity 2)
Np: 0.3333 0.6667 0.7500 (multiplicity 2)
Sc: 0.0000 0.0000 0.0000 (multiplicity 2)
O: 0.0530 0.3520 0.6250 (multiplicity 12)

Results
formation energy (no corrections) = -2.381 eV/atom

(12)
Compound: NaNpSc4O8
Source: Alexandria via LeMat-Bulk
Functional: PBE-GGA
Structure: relaxed

Cell lengths 6.4005, 6.4005, 15.8878 Å; angles 90.00, 90.00, 120.00 degrees
Space group R3m (No. 160, hexagonal axes)
Inequivalent atoms, fractional coordinates:
Na: 0.0000 0.0000 0.0000 (multiplicity 3)
Np: 0.0000 0.0000 0.3796 (multiplicity 3)
Sc: 0.0000 0.0000 0.6216 (multiplicity 3)
Sc: 0.0005 0.5002 0.5016 (multiplicity 9)
O: 0.0000 0.0000 0.2377 (multiplicity 3)
O: 0.0000 0.0000 0.7587 (multiplicity 3)
O: 0.0263 0.5132 0.7641 (multiplicity 9)
O: 0.1688 0.3377 0.5730 (multiplicity 9)

Results
formation energy (no corrections) = -3.108 eV/atom

(13)
Compound: NaNpSeO6
Source: Alexandria via LeMat-Bulk
Functional: PBE-GGA
Structure: relaxed

Cell lengths 5.4686, 5.4686, 10.2246 Å; angles 90.00, 90.00, 120.00 degrees
Space group P-31c (No. 163)
Inequivalent atoms, fractional coordinates:
Na: 0.0000 0.0000 0.0000 (multiplicity 2)
Np: 0.3333 0.6667 0.2500 (multiplicity 2)
Se: 0.3333 0.6667 0.7500 (multiplicity 2)
O: 0.0015 0.3695 0.6457 (multiplicity 12)

Results
energy relative to the lowest polymorph listed for this composition = 0.000 eV/atom
formation energy (no corrections) = -1.710 eV/atom

(14)
Compound: NaNpSeO6
Source: Alexandria via LeMat-Bulk
Functional: PBE-GGA
Structure: relaxed

Cell lengths 15.3170, 7.2840, 6.9016 Å; angles 90.00, 112.48, 90.00 degrees
Space group C2/m (No. 12)
Inequivalent atoms, fractional coordinates:
Na: 0.0413 0.0000 0.2724 (multiplicity 4)
Np: 0.2400 0.0000 0.1304 (multiplicity 4)
Se: 0.2005 0.5000 0.2914 (multiplicity 4)
O: 0.0000 0.1623 0.5000 (multiplicity 4)
O: 0.1104 0.0000 0.0177 (multiplicity 4)
O: 0.1340 0.5000 0.7498 (multiplicity 4)
O: 0.2204 0.0000 0.4526 (multiplicity 4)
O: 0.2430 0.3271 0.1771 (multiplicity 8)

Results
energy relative to the lowest polymorph listed for this composition = 0.163 eV/atom
formation energy (no corrections) = -1.547 eV/atom

(15)
Compound: NaNpSeO5
Source: Alexandria via LeMat-Bulk
Functional: PBE-GGA
Structure: relaxed

Cell lengths 7.4036, 10.6791, 8.2856 Å; angles 90.00, 111.04, 90.00 degrees
Space group C2/c (No. 15)
Inequivalent atoms, fractional coordinates:
Na: 0.0000 0.1924 0.2500 (multiplicity 4)
Np: 0.0000 0.5000 0.0000 (multiplicity 4)
Se: 0.0000 0.1025 0.7500 (multiplicity 4)
O: 0.9998 0.3295 0.0393 (multiplicity 8)
O: 0.0000 0.4654 0.7500 (multiplicity 4)
O: 0.1606 0.0031 0.3874 (multiplicity 8)

Results
formation energy (no corrections) = -1.906 eV/atom

(16)
Compound: NaNpSiO6
Source: Alexandria via LeMat-Bulk
Functional: PBE-GGA
Structure: relaxed

Cell lengths 5.1490, 5.1490, 10.2790 Å; angles 90.00, 90.00, 120.00 degrees
Space group P-31c (No. 163)
Inequivalent atoms, fractional coordinates:
Na: 0.0000 0.0000 0.0000 (multiplicity 2)
Np: 0.3333 0.6667 0.2500 (multiplicity 2)
Si: 0.3333 0.6667 0.7500 (multiplicity 2)
O: 0.0331 0.3871 0.6508 (multiplicity 12)

Results
formation energy (no corrections) = -2.343 eV/atom

(17)
Compound: NaNpSi2O6
Source: Alexandria via LeMat-Bulk
Functional: PBE-GGA
Structure: relaxed

Cell lengths 10.4228, 10.0259, 5.3826 Å; angles 90.00, 104.58, 90.00 degrees
Space group C2/c (No. 15)
Inequivalent atoms, fractional coordinates:
Na: 0.0000 0.1710 0.2500 (multiplicity 4)
Np: 0.0000 0.3863 0.7500 (multiplicity 4)
Si: 0.2086 0.0830 0.7405 (multiplicity 8)
O: 0.1293 0.4154 0.1761 (multiplicity 8)
O: 0.1352 0.2248 0.6705 (multiplicity 8)
O: 0.1551 0.0127 0.9788 (multiplicity 8)

Results
formation energy (no corrections) = -2.621 eV/atom

(18)
Compound: NaNpSiO5
Source: Alexandria via LeMat-Bulk
Functional: PBE-GGA
Structure: relaxed

Cell lengths 7.1475, 9.0789, 7.8218 Å; angles 90.00, 114.91, 90.00 degrees
Space group C2/c (No. 15)
Inequivalent atoms, fractional coordinates:
Na: 0.0000 0.1641 0.2500 (multiplicity 4)
Np: 0.0000 0.5000 0.0000 (multiplicity 4)
Si: 0.0000 0.1777 0.7500 (multiplicity 4)
O: 0.0000 0.4200 0.2500 (multiplicity 4)
O: 0.0905 0.2824 0.6288 (multiplicity 8)
O: 0.1801 0.0657 0.8930 (multiplicity 8)

Results
formation energy (no corrections) = -2.690 eV/atom